First-principles (GGA-PBE) data for a relaxed structure of Ba2MnBr2, as listed in the Alexandria database.

Computed properties:
**Raw total energy**: -4.019 eV/atom
**N(E_F)**: 8.7 states/eV/cell
**ΔE_f (raw)**: -3.734 eV/f.u.

Cell: 5.1366 5.1366 16.3589 Å, 90.00 90.00 90.00°
Space group I4/mmm (No. 139)
Unique sites:
Ba: 0.0000 0.0000 0.1264
Mn: 0.0000 0.0000 0.5000
Br: 0.0000 0.5000 0.2500

First-principles (GGA-PBE) data for a relaxed structure of PaBe4Pd, as listed in the Alexandria database.

Computed properties:
**Raw total energy**: -4.760 eV/atom
**N(E_F)**: 22.8 states/eV/cell

Cell: 6.8439 6.8439 6.8439 Å, 90.00 90.00 90.00°
Space group F-43m (No. 216)
Unique sites:
Pa: 0.0000 0.0000 0.0000
Be: 0.1266 0.1266 0.3734
Pd: 0.2500 0.2500 0.7500

First-principles (GGA-PBE) data for a relaxed structure of Ac12Mg2Ge5, as listed in the Alexandria database.

Computed properties:
**Raw total energy**: -4.209 eV/atom
**N(E_F)**: 44.1 states/eV/cell

Cell: 17.9049 8.0787 10.1689 Å, 90.00 99.95 90.00°
Space group C2/m (No. 12)
Unique sites:
Ac: 0.0155 0.0000 0.3083
Ac: 0.0174 0.5000 0.8034
Ac: 0.1474 0.2436 0.0745
Ac: 0.1803 0.2513 0.6163
Mg: 0.0000 0.3292 0.5000
Ge: 0.0000 0.0000 0.0000
Ge: 0.1629 0.5000 0.3450
Ge: 0.2051 0.5000 0.8708